[1]
Here is an optimized crystal structure of LiCaZnRh from Alexandria via LeMat-Bulk. Energies are from GGA-PBE.

Summary:
For the formation energy from the elements, the calculation gives -275 meV per atom. As for the calculated volume: 70.35 Å³/cell. The calculation puts the energy above the lowest structure with this stoichiometry at 66.5 meV/atom.

a b c (Å): 4.634 4.634 4.634
angles (deg): 60.00 60.00 60.00
Sites, in units of the cell vectors:
Zn: 0.000 0.000 0.000
Ca: 0.500 0.500 0.500
Li: 0.250 0.250 0.250
Rh: 0.750 0.750 0.750

---

[2]
Here is an optimized crystal structure of LiCa2ZnRh from Alexandria via LeMat-Bulk. Energies are from GGA-PBE.

Summary:
For the formation energy from the elements, the calculation gives -129 meV per atom. As for the calculated volume: 144.17 Å³/cell.

a b c (Å): 5.421 5.421 4.905
angles (deg): 90.00 90.00 90.00
Sites, in units of the cell vectors:
Ca: 0.000 0.500 0.000
Ca: 0.500 0.000 0.000
Rh: 0.000 0.000 0.000
Zn: 0.000 0.000 0.500
Li: 0.500 0.500 0.500

---

[3]
Here is an optimized crystal structure of LiCa2Zn5Rh2 from Alexandria via LeMat-Bulk. Energies are from GGA-PBE.

Summary:
For the formation energy from the elements, the calculation gives -332 meV per atom. As for the calculated volume: 373.49 Å³/cell.

a b c (Å): 3.980 9.687 9.687
angles (deg): 90.00 90.00 90.00
Sites, in units of the cell vectors:
Rh: 0.000 0.120 0.620
Rh: 0.000 0.380 0.120
Rh: 0.000 0.880 0.380
Rh: 0.000 0.620 0.880
Ca: 0.000 0.677 0.177
Ca: 0.000 0.823 0.677
Ca: 0.000 0.177 0.323
Ca: 0.000 0.323 0.823
Zn: 0.500 0.937 0.210
Zn: 0.500 0.790 0.937
Zn: 0.500 0.000 0.500
Zn: 0.500 0.563 0.710
Zn: 0.500 0.710 0.437
Zn: 0.500 0.290 0.563
Zn: 0.500 0.500 0.000
Zn: 0.500 0.437 0.290
Zn: 0.500 0.210 0.063
Zn: 0.500 0.063 0.790
Li: 0.000 0.000 0.000
Li: 0.000 0.500 0.500

---

[4]
Here is an optimized crystal structure of LiCaZnRh from Alexandria via LeMat-Bulk. Energies are from GGA-PBE.

Summary:
For the formation energy from the elements, the calculation gives -342 meV per atom. As for the calculated volume: 78.77 Å³/cell. The calculation puts the energy above the lowest structure with this stoichiometry at 0.0 meV/atom.

a b c (Å): 4.369 4.373 5.381
angles (deg): 113.84 90.00 119.97
Sites, in units of the cell vectors:
Li: 0.824 0.648 0.114
Ca: 0.623 0.245 0.509
Zn: 0.104 0.208 0.955
Rh: 0.415 0.831 0.889

---

[5]
Here is an optimized crystal structure of Li2Ca2Zn5Rh from Alexandria via LeMat-Bulk. Energies are from GGA-PBE.

Summary:
For the formation energy from the elements, the calculation gives -200 meV per atom. As for the calculated volume: 359.13 Å³/cell.

a b c (Å): 3.808 9.711 9.711
angles (deg): 90.00 90.00 90.00
Sites, in units of the cell vectors:
Li: 0.000 0.619 0.881
Li: 0.000 0.881 0.381
Li: 0.000 0.381 0.119
Li: 0.000 0.119 0.619
Rh: 0.000 0.500 0.500
Rh: 0.000 0.000 0.000
Zn: 0.500 0.689 0.455
Zn: 0.500 0.811 0.955
Zn: 0.500 0.311 0.545
Zn: 0.500 0.045 0.811
Zn: 0.500 0.545 0.689
Zn: 0.500 0.000 0.500
Zn: 0.500 0.189 0.045
Zn: 0.500 0.955 0.189
Zn: 0.500 0.500 0.000
Zn: 0.500 0.455 0.311
Ca: 0.000 0.183 0.317
Ca: 0.000 0.317 0.817
Ca: 0.000 0.817 0.683
Ca: 0.000 0.683 0.183

---

[6]
Here is an optimized crystal structure of LiCaZn2Rh from Alexandria via LeMat-Bulk. Energies are from GGA-PBE.

Summary:
For the formation energy from the elements, the calculation gives -185 meV per atom. As for the calculated volume: 106.84 Å³/cell.

a b c (Å): 4.815 4.815 4.608
angles (deg): 90.00 90.00 90.00
Sites, in units of the cell vectors:
Li: 0.000 0.000 0.500
Ca: 0.500 0.500 0.500
Zn: 0.500 0.000 0.000
Zn: 0.000 0.500 0.000
Rh: 0.000 0.000 0.000

---

[7]
Here is an optimized crystal structure of LiCaRu from Alexandria via LeMat-Bulk. Energies are from GGA-PBE.

Summary:
For the formation energy from the elements, the calculation gives 133 meV per atom. As for the calculated volume: 137.24 Å³/cell. The calculation puts the energy above the lowest structure with this stoichiometry at 93.2 meV/atom.

a b c (Å): 4.293 5.487 6.386
angles (deg): 103.52 109.64 90.00
Sites, in units of the cell vectors:
Ru: 0.226 0.905 0.452
Ru: 0.774 0.095 0.548
Li: 0.579 0.788 0.158
Li: 0.421 0.212 0.842
Ca: 0.129 0.326 0.259
Ca: 0.871 0.674 0.741

---

[8]
Here is an optimized crystal structure of LiCaRu from Alexandria via LeMat-Bulk. Energies are from GGA-PBE.

Summary:
For the formation energy from the elements, the calculation gives 94 meV per atom. As for the calculated volume: 253.20 Å³/cell. The calculation puts the energy above the lowest structure with this stoichiometry at 54.0 meV/atom.

a b c (Å): 7.477 4.393 10.610
angles (deg): 90.00 133.40 90.00
Sites, in units of the cell vectors:
Li: 0.081 0.000 0.680
Li: 0.823 0.500 0.460
Li: 0.823 0.000 0.960
Li: 0.081 0.500 0.180
Ru: 0.675 0.000 0.619
Ru: 0.515 0.000 0.003
Ru: 0.675 0.500 0.119
Ru: 0.515 0.500 0.503
Ca: 0.478 0.000 0.257
Ca: 0.090 0.500 0.874
Ca: 0.478 0.500 0.757
Ca: 0.090 0.000 0.374

---

[9]
Here is an optimized crystal structure of LiCaRu from Alexandria via LeMat-Bulk. Energies are from GGA-PBE.

Summary:
For the formation energy from the elements, the calculation gives 342 meV per atom. As for the calculated volume: 55.87 Å³/cell. The calculation puts the energy above the lowest structure with this stoichiometry at 301.6 meV/atom.

a b c (Å): 5.501 5.501 3.355
angles (deg): 72.24 72.24 35.51
Sites, in units of the cell vectors:
Ru: 0.691 0.691 0.309
Li: 0.299 0.299 0.701
Ca: 0.009 0.009 0.991

---

[10]
Here is an optimized crystal structure of LiCaRu from Alexandria via LeMat-Bulk. Energies are from GGA-PBE.

Summary:
For the formation energy from the elements, the calculation gives 101 meV per atom. As for the calculated volume: 130.39 Å³/cell. The calculation puts the energy above the lowest structure with this stoichiometry at 60.8 meV/atom.

a b c (Å): 4.347 4.687 6.400
angles (deg): 90.00 90.09 90.00
Sites, in units of the cell vectors:
Li: 0.518 0.000 0.178
Li: 0.018 0.000 0.369
Ca: 0.516 0.500 0.527
Ca: 0.016 0.000 0.874
Ru: 0.514 0.500 0.022
Ru: 0.015 0.500 0.178

---

[11]
Here is an optimized crystal structure of LiCaRu from Alexandria via LeMat-Bulk. Energies are from GGA-PBE.

Summary:
For the formation energy from the elements, the calculation gives 308 meV per atom. As for the calculated volume: 55.06 Å³/cell. The calculation puts the energy above the lowest structure with this stoichiometry at 267.9 meV/atom.

a b c (Å): 4.769 4.769 2.795
angles (deg): 90.00 90.00 120.00
Sites, in units of the cell vectors:
Ru: 0.333 0.667 0.511
Ca: 0.000 0.000 0.002
Li: 0.667 0.333 0.487

---

[12]
Here is an optimized crystal structure of LiCaRu3 from Alexandria via LeMat-Bulk. Energies are from GGA-PBE.

Summary:
For the formation energy from the elements, the calculation gives 952 meV per atom. As for the calculated volume: 80.77 Å³/cell. The calculation puts the energy above the lowest structure with this stoichiometry at 0.0 meV/atom.

a b c (Å): 4.323 4.323 4.323
angles (deg): 90.00 90.00 90.00
Sites, in units of the cell vectors:
Ca: 0.500 0.500 0.500
Ru: 0.500 0.000 0.000
Ru: 0.000 0.000 0.500
Ru: 0.000 0.500 0.000
Li: 0.000 0.000 0.000

---

[13]
Here is an optimized crystal structure of LiCaRu4 from Alexandria via LeMat-Bulk. Energies are from GGA-PBE.

Summary:
For the formation energy from the elements, the calculation gives 305 meV per atom. As for the calculated volume: 102.10 Å³/cell.

a b c (Å): 5.246 5.246 5.246
angles (deg): 60.00 60.00 60.00
Sites, in units of the cell vectors:
Ca: 0.750 0.750 0.750
Ru: 0.375 0.375 0.876
Ru: 0.375 0.375 0.375
Ru: 0.375 0.876 0.375
Ru: 0.876 0.375 0.375
Li: 0.000 0.000 0.000

---

[14]
Here is an optimized crystal structure of LiCaRu3 from Alexandria via LeMat-Bulk. Energies are from GGA-PBE.

Summary:
For the formation energy from the elements, the calculation gives 2108 meV per atom. As for the calculated volume: 110.85 Å³/cell. The calculation puts the energy above the lowest structure with this stoichiometry at 1156.3 meV/atom.

a b c (Å): 4.804 4.804 4.804
angles (deg): 90.00 90.00 90.00
Sites, in units of the cell vectors:
Ru: 0.000 0.500 0.000
Ru: 0.500 0.000 0.000
Ru: 0.000 0.000 0.500
Ca: 0.000 0.000 0.000
Li: 0.500 0.500 0.500

---

[15]
Here is an optimized crystal structure of LiCa4Ru from Alexandria via LeMat-Bulk. Energies are from GGA-PBE.

Summary:
For the formation energy from the elements, the calculation gives 846 meV per atom. As for the calculated volume: 184.35 Å³/cell. The calculation puts the energy above the lowest structure with this stoichiometry at 815.1 meV/atom.

a b c (Å): 6.388 6.388 6.388
angles (deg): 60.00 60.00 60.00
Sites, in units of the cell vectors:
Ru: 0.000 0.000 0.000
Ca: 0.374 0.879 0.374
Ca: 0.374 0.374 0.879
Ca: 0.374 0.374 0.374
Ca: 0.879 0.374 0.374
Li: 0.750 0.750 0.750

---

[16]
Here is an optimized crystal structure of LiCaRu from Alexandria via LeMat-Bulk. Energies are from GGA-PBE.

Summary:
For the formation energy from the elements, the calculation gives 142 meV per atom. As for the calculated volume: 241.97 Å³/cell. The calculation puts the energy above the lowest structure with this stoichiometry at 102.4 meV/atom.

a b c (Å): 4.417 4.921 11.131
angles (deg): 90.00 90.00 90.00
Sites, in units of the cell vectors:
Li: 0.000 0.000 0.994
Li: 0.000 0.000 0.354
Li: 0.000 0.500 0.854
Li: 0.000 0.500 0.494
Ru: 0.000 0.000 0.598
Ru: 0.000 0.500 0.098
Ru: 0.500 0.500 0.007
Ru: 0.500 0.000 0.507
Ca: 0.500 0.000 0.141
Ca: 0.500 0.000 0.818
Ca: 0.500 0.500 0.641
Ca: 0.500 0.500 0.318

---

[17]
Here is an optimized crystal structure of LiCaRu from Alexandria via LeMat-Bulk. Energies are from GGA-PBE.

Summary:
For the formation energy from the elements, the calculation gives 78 meV per atom. As for the calculated volume: 254.61 Å³/cell. The calculation puts the energy above the lowest structure with this stoichiometry at 38.2 meV/atom.

a b c (Å): 5.530 4.347 10.620
angles (deg): 90.00 94.16 90.00
Sites, in units of the cell vectors:
Li: 0.157 0.000 0.384
Li: 0.903 0.000 0.953
Li: 0.157 0.500 0.884
Li: 0.903 0.500 0.453
Ru: 0.636 0.500 0.873
Ru: 0.461 0.000 0.833
Ru: 0.636 0.000 0.373
Ru: 0.461 0.500 0.333
Ca: 0.429 0.000 0.104
Ca: 0.429 0.500 0.604
Ca: 0.901 0.000 0.684
Ca: 0.901 0.500 0.184

---

[18]
Here is an optimized crystal structure of LiCaRu from Alexandria via LeMat-Bulk. Energies are from GGA-PBE.

Summary:
For the formation energy from the elements, the calculation gives 1052 meV per atom. As for the calculated volume: 70.29 Å³/cell. The calculation puts the energy above the lowest structure with this stoichiometry at 1011.8 meV/atom.

a b c (Å): 4.632 4.632 4.632
angles (deg): 60.00 60.00 60.00
Sites, in units of the cell vectors:
Li: 0.000 0.000 0.000
Ca: 0.750 0.750 0.750
Ru: 0.500 0.500 0.500

---

[19]
Here is an optimized crystal structure of Li3CaRu from Alexandria via LeMat-Bulk. Energies are from GGA-PBE.

Summary:
For the formation energy from the elements, the calculation gives 450 meV per atom. As for the calculated volume: 105.33 Å³/cell. The calculation puts the energy above the lowest structure with this stoichiometry at 0.0 meV/atom.

a b c (Å): 4.723 4.723 4.723
angles (deg): 90.00 90.00 90.00
Sites, in units of the cell vectors:
Li: 0.500 0.000 0.000
Li: 0.000 0.000 0.500
Li: 0.000 0.500 0.000
Ca: 0.500 0.500 0.500
Ru: 0.000 0.000 0.000

---

[20]
Here is an optimized crystal structure of LiCaRu from Alexandria via LeMat-Bulk. Energies are from GGA-PBE.

Summary:
For the formation energy from the elements, the calculation gives 100 meV per atom. As for the calculated volume: 118.47 Å³/cell. The calculation puts the energy above the lowest structure with this stoichiometry at 60.4 meV/atom.

a b c (Å): 5.259 4.477 5.436
angles (deg): 90.00 112.25 90.00
Sites, in units of the cell vectors:
Ca: 0.767 0.750 0.469
Ca: 0.233 0.250 0.531
Ru: 0.903 0.250 0.953
Ru: 0.097 0.750 0.047
Li: 0.555 0.750 0.904
Li: 0.445 0.250 0.096

---

[21]
Here is an optimized crystal structure of LiCaRu from Alexandria via LeMat-Bulk. Energies are from GGA-PBE.

Summary:
For the formation energy from the elements, the calculation gives 317 meV per atom. As for the calculated volume: 54.83 Å³/cell. The calculation puts the energy above the lowest structure with this stoichiometry at 277.0 meV/atom.

a b c (Å): 5.220 5.220 5.220
angles (deg): 149.49 130.05 59.66
Sites, in units of the cell vectors:
Li: 0.314 0.314 0.000
Ru: 0.680 0.680 0.000
Ca: 0.006 0.006 0.000

---

[22]
Here is an optimized crystal structure of LiCa4Ru from Alexandria via LeMat-Bulk. Energies are from GGA-PBE.

Summary:
For the formation energy from the elements, the calculation gives 30 meV per atom. As for the calculated volume: 377.84 Å³/cell. The calculation puts the energy above the lowest structure with this stoichiometry at 0.0 meV/atom.

a b c (Å): 6.408 8.193 8.193
angles (deg): 111.36 100.79 100.79
Sites, in units of the cell vectors:
Ru: 0.750 0.000 0.000
Ru: 0.250 0.000 0.000
Ca: 0.374 0.807 0.654
Ca: 0.626 0.193 0.346
Ca: 0.053 0.938 0.267
Ca: 0.947 0.062 0.733
Ca: 0.126 0.346 0.193
Ca: 0.553 0.267 0.938
Ca: 0.447 0.733 0.062
Ca: 0.874 0.654 0.807
Li: 0.750 0.624 0.376
Li: 0.250 0.376 0.624

---

[23]
Here is an optimized crystal structure of Li2Ca2Ru from Alexandria via LeMat-Bulk. Energies are from GGA-PBE.

Summary:
For the formation energy from the elements, the calculation gives 243 meV per atom. As for the calculated volume: 118.90 Å³/cell. The calculation puts the energy above the lowest structure with this stoichiometry at 0.0 meV/atom.

a b c (Å): 3.551 3.551 9.760
angles (deg): 79.52 79.52 90.00
Sites, in units of the cell vectors:
Li: 0.750 0.250 0.500
Li: 0.250 0.750 0.500
Ca: 0.587 0.587 0.825
Ca: 0.413 0.413 0.175
Ru: 0.000 0.000 0.000

---

[24]
Here is an optimized crystal structure of LiCaRu from Alexandria via LeMat-Bulk. Energies are from GGA-PBE.

Summary:
For the formation energy from the elements, the calculation gives 40 meV per atom. As for the calculated volume: 224.84 Å³/cell. The calculation puts the energy above the lowest structure with this stoichiometry at 0.0 meV/atom.

a b c (Å): 5.416 5.095 8.149
angles (deg): 90.00 90.00 90.00
Sites, in units of the cell vectors:
Li: 0.250 0.750 0.250
Li: 0.250 0.250 0.750
Li: 0.750 0.750 0.250
Li: 0.750 0.250 0.750
Ru: 0.000 0.000 0.500
Ru: 0.500 0.500 0.000
Ru: 0.500 0.000 0.000
Ru: 0.000 0.500 0.500
Ca: 0.000 0.250 0.136
Ca: 0.000 0.750 0.864
Ca: 0.500 0.750 0.636
Ca: 0.500 0.250 0.364

---

[25]
Here is an optimized crystal structure of LiCaRu from Alexandria via LeMat-Bulk. Energies are from GGA-PBE.

Summary:
For the formation energy from the elements, the calculation gives 114 meV per atom. As for the calculated volume: 124.20 Å³/cell. The calculation puts the energy above the lowest structure with this stoichiometry at 74.3 meV/atom.

a b c (Å): 5.413 4.451 5.786
angles (deg): 90.00 117.00 90.00
Sites, in units of the cell vectors:
Ru: 0.100 0.500 0.845
Ru: 0.283 0.000 0.849
Li: 0.630 0.500 0.969
Li: 0.878 0.000 0.976
Ca: 0.716 0.000 0.428
Ca: 0.245 0.500 0.419